Entry 1:
{
  "formula": "Pr3InPd4",
  "functional": "PBE",
  "state": "relaxed",
  "cell": [[4.040, 0.000, 0.000], [0.000, 6.644, 0.000], [-2.020, -3.322, 7.560]],
  "species": ["Pd", "Pd", "Pr", "Pd", "Pd", "Pr", "Pr", "In"],
  "frac_coords": [[0.626, 0.828, 0.252], [0.374, 0.576, 0.748], [0.810, 0.810, 0.620], [0.374, 0.172, 0.748], [0.626, 0.424, 0.252], [0.190, 0.190, 0.380], [0.000, 0.500, 0.000], [0.500, 0.000, 0.000]],
  "mass_density_g_cm3": 7.882,
  "magmom_total_mub_per_cell": 0.00,
  "ef_mev_per_atom": -648
}



Entry 2:
{
  "formula": "BaTa2Ni",
  "functional": "PBE",
  "state": "relaxed",
  "cell": [[0.000, 3.360, 3.360], [3.360, 0.000, 3.360], [3.360, 3.360, 0.000]],
  "species": ["Ta", "Ni", "Ba", "Ta"],
  "frac_coords": [[0.250, 0.250, 0.250], [0.000, 0.000, 0.000], [0.500, 0.500, 0.500], [0.750, 0.750, 0.750]],
  "mass_density_g_cm3": 12.208,
  "magmom_total_mub_per_cell": 0.00,
  "ef_mev_per_atom": 1206,
  "polymorph_energy_ev_per_fu": 3.17
}



Entry 3:
{
  "formula": "YAl2Tc",
  "functional": "PBE",
  "state": "relaxed",
  "cell": [[4.063, 0.000, 0.000], [0.000, 4.063, 0.000], [0.000, 0.000, 4.439]],
  "species": ["Al", "Y", "Tc", "Al"],
  "frac_coords": [[0.000, 0.000, 0.000], [0.000, 0.500, 0.500], [0.500, 0.000, 0.500], [0.500, 0.500, 0.000]],
  "mass_density_g_cm3": 5.459,
  "magmom_total_mub_per_cell": 0.13,
  "ef_mev_per_atom": -140,
  "polymorph_energy_ev_per_fu": 0.80
}